Here is a relaxed structure of TiSb2F from the Alexandria database. Energies are from PBE.

M_tot	0.8	μB per cell
polymorph energy (0 for the lowest one)	0.000	eV/atom
total energy	-20.021	eV for the cell shown
DOS(E_F)	2.71	states/eV per cell
theoretical density	6.616	g cm⁻³

Cell and atoms, written as extended XYZ:
```
4
Lattice="0.0000 3.3899 3.3899 3.3899 0.0000 3.3899 3.3899 3.3899 0.0000" Properties=species:S:1:pos:R:3 pbc="T T T"
Ti 0.0000 0.0000 0.0000
Sb 1.6949 1.6949 1.6949
Sb 5.0848 5.0848 5.0848
F 3.3899 3.3899 3.3899
```

---

Here is a relaxed structure of Lu2PuIn from the Alexandria database. Energies are from PBE.

M_tot	6.7	μB per cell
polymorph energy (0 for the lowest one)	0.019	eV/atom
total energy	-26.625	eV for the cell shown
ΔE_f	-0.51	eV per formula unit
DOS(E_F)	10.50	states/eV per cell
theoretical density	11.006	g cm⁻³

Cell and atoms, written as extended XYZ:
```
4
Lattice="4.8204 0.0000 0.0000 0.0000 4.8204 0.0000 0.0000 0.0000 4.6018" Properties=species:S:1:pos:R:3 pbc="T T T"
Lu 0.0000 2.4102 0.0000
Lu 2.4102 0.0000 0.0000
Pu 0.0000 0.0000 2.3009
In 2.4102 2.4102 2.3009
```

---

Here is a relaxed structure of Ac3CuN from the Alexandria database. Energies are from PBE.

M_tot	0.0	μB per cell
polymorph energy (0 for the lowest one)	0.000	eV/atom
total energy	-53.384	eV for the cell shown
DOS(E_F)	9.35	states/eV per cell
theoretical density	9.135	g cm⁻³

Cell and atoms, written as extended XYZ:
```
10
Lattice="6.1646 -2.7085 0.0000 6.1646 2.7085 0.0000 -3.1390 0.0000 8.2585" Properties=species:S:1:pos:R:3 pbc="T T T"
Ac 0.6406 0.0000 1.7122
Ac -0.0960 0.0000 5.3165
Ac 4.2474 0.0000 0.6959
Ac 4.9429 0.0000 7.5626
Ac 9.2863 0.0000 2.9420
Ac 8.5496 0.0000 6.5463
Cu 3.4062 0.0000 4.5711
Cu 5.7840 0.0000 3.6874
N -1.3679 0.0000 7.5885
N 10.5582 0.0000 0.6699
```